Entry 1:
VASP calculation (PBE) on SiPOsO after structural relaxation.

a = 2.966 Å, b = 6.434 Å, c = 5.765 Å
α = 90.00°, β = 90.00°, γ = 90.00°
Positions (direct):
1 Si 0.000 0.099 0.000
2 Si 0.000 0.901 0.500
3 P 0.000 0.239 0.635
4 P 0.000 0.761 0.135
5 Os 0.500 0.495 0.620
6 Os 0.500 0.505 0.120
7 O 0.500 0.162 0.137
8 O 0.500 0.838 0.637

Raw total energy, eV/cell: -57.3

---

Entry 2:
VASP calculation (PBE) on SiPOsO after structural relaxation.

a = 3.480 Å, b = 3.480 Å, c = 8.119 Å
α = 90.00°, β = 90.00°, γ = 90.00°
Positions (direct):
1 Si 0.250 0.750 0.000
2 Si 0.750 0.250 0.000
3 P 0.250 0.250 0.232
4 P 0.750 0.750 0.768
5 Os 0.250 0.250 0.668
6 Os 0.750 0.750 0.332
7 O 0.250 0.750 0.500
8 O 0.750 0.250 0.500

Raw total energy, eV/cell: -50.2

---

Entry 3:
VASP calculation (PBE) on SmPOsO after structural relaxation.

a = 3.245 Å, b = 7.675 Å, c = 5.239 Å
α = 90.00°, β = 90.00°, γ = 90.00°
Positions (direct):
1 Sm 0.000 0.180 0.000
2 Sm 0.000 0.820 0.500
3 P 0.000 0.431 0.499
4 P 0.000 0.569 0.999
5 Os 0.500 0.226 0.500
6 Os 0.500 0.774 0.000
7 O 0.500 0.007 0.766
8 O 0.500 0.993 0.266

Raw total energy, eV/cell: -61.3

---

Entry 4:
VASP calculation (PBE) on SmPOsO after structural relaxation.

a = 4.358 Å, b = 4.245 Å, c = 6.775 Å
α = 90.00°, β = 90.00°, γ = 90.00°
Positions (direct):
1 Sm 0.000 0.216 0.000
2 Sm 0.000 0.784 0.500
3 P 0.500 0.204 0.686
4 P 0.500 0.796 0.186
5 Os 0.500 0.299 0.344
6 Os 0.500 0.701 0.844
7 O 0.000 0.287 0.341
8 O 0.000 0.713 0.841

Raw total energy, eV/cell: -62.6

---

Entry 5:
VASP calculation (PBE) on SmPOsO after structural relaxation.

a = 4.309 Å, b = 4.309 Å, c = 6.703 Å
α = 90.00°, β = 90.00°, γ = 90.00°
Positions (direct):
1 Sm 0.250 0.750 0.000
2 Sm 0.750 0.250 0.000
3 P 0.250 0.250 0.286
4 P 0.750 0.750 0.714
5 Os 0.250 0.250 0.629
6 Os 0.750 0.750 0.371
7 O 0.250 0.750 0.500
8 O 0.750 0.250 0.500

Raw total energy, eV/cell: -51.4

---

Entry 6:
VASP calculation (PBE) on SmPOsO after structural relaxation.

a = 4.023 Å, b = 4.023 Å, c = 8.149 Å
α = 90.00°, β = 90.00°, γ = 90.00°
Positions (direct):
1 Sm 0.250 0.250 0.140
2 Sm 0.750 0.750 0.860
3 P 0.250 0.250 0.650
4 P 0.750 0.750 0.350
5 Os 0.250 0.750 0.500
6 Os 0.750 0.250 0.500
7 O 0.250 0.750 0.000
8 O 0.750 0.250 0.000

Raw total energy, eV/cell: -67.5

---

Entry 7:
VASP calculation (PBE) on SnPOsO after structural relaxation.

a = 3.800 Å, b = 7.865 Å, c = 4.813 Å
α = 90.00°, β = 90.00°, γ = 90.00°
Positions (direct):
1 Sn 0.000 0.095 0.000
2 Sn 0.000 0.905 0.500
3 P 0.500 0.306 0.967
4 P 0.500 0.694 0.467
5 Os 0.500 0.394 0.472
6 Os 0.500 0.606 0.972
7 O 0.000 0.380 0.471
8 O 0.000 0.620 0.971

Raw total energy, eV/cell: -52.9

---

Entry 8:
VASP calculation (PBE) on SnPOsO after structural relaxation.

a = 3.114 Å, b = 7.729 Å, c = 5.562 Å
α = 90.00°, β = 90.00°, γ = 90.00°
Positions (direct):
1 Sn 0.000 0.091 0.000
2 Sn 0.000 0.909 0.500
3 P 0.000 0.339 0.385
4 P 0.000 0.661 0.885
5 Os 0.500 0.478 0.638
6 Os 0.500 0.522 0.138
7 O 0.500 0.298 0.911
8 O 0.500 0.702 0.411

Raw total energy, eV/cell: -53.6

---

Entry 9:
VASP calculation (PBE) on SnPOsO after structural relaxation.

a = 3.834 Å, b = 3.834 Å, c = 10.183 Å
α = 90.00°, β = 90.00°, γ = 90.00°
Positions (direct):
1 Sn 0.250 0.250 0.115
2 Sn 0.750 0.750 0.885
3 P 0.250 0.250 0.637
4 P 0.750 0.750 0.363
5 Os 0.250 0.750 0.500
6 Os 0.750 0.250 0.500
7 O 0.250 0.750 0.000
8 O 0.750 0.250 0.000

Raw total energy, eV/cell: -55.8

---

Entry 10:
VASP calculation (PBE) on SnPOsO after structural relaxation.

a = 4.139 Å, b = 4.139 Å, c = 9.393 Å
α = 90.00°, β = 90.00°, γ = 90.00°
Positions (direct):
1 Sn 0.250 0.750 0.000
2 Sn 0.750 0.250 0.000
3 P 0.250 0.250 0.219
4 P 0.750 0.750 0.781
5 Os 0.250 0.250 0.445
6 Os 0.750 0.750 0.555
7 O 0.250 0.750 0.500
8 O 0.750 0.250 0.500

Raw total energy, eV/cell: -48.9

---

Entry 11:
VASP calculation (PBE) on SrPOsO after structural relaxation.

a = 4.056 Å, b = 6.650 Å, c = 6.245 Å
α = 90.00°, β = 90.00°, γ = 90.00°
Positions (direct):
1 Sr 0.000 0.206 0.000
2 Sr 0.000 0.794 0.500
3 P 0.000 0.256 0.494
4 P 0.000 0.744 0.994
5 Os 0.500 0.390 0.577
6 Os 0.500 0.610 0.077
7 O 0.500 0.361 0.895
8 O 0.500 0.639 0.395

Raw total energy, eV/cell: -53.2

---

Entry 12:
VASP calculation (PBE) on SrPOsO after structural relaxation.

a = 4.301 Å, b = 4.301 Å, c = 7.051 Å
α = 90.00°, β = 90.00°, γ = 90.00°
Positions (direct):
1 Sr 0.250 0.750 0.000
2 Sr 0.750 0.250 0.000
3 P 0.250 0.250 0.293
4 P 0.750 0.750 0.707
5 Os 0.250 0.250 0.614
6 Os 0.750 0.750 0.386
7 O 0.250 0.750 0.500
8 O 0.750 0.250 0.500

Raw total energy, eV/cell: -43.3

---

Entry 13:
VASP calculation (PBE) on SrPOsO after structural relaxation.

a = 4.100 Å, b = 4.100 Å, c = 9.158 Å
α = 90.00°, β = 90.00°, γ = 90.00°
Positions (direct):
1 Sr 0.250 0.250 0.129
2 Sr 0.750 0.750 0.871
3 P 0.250 0.250 0.623
4 P 0.750 0.750 0.377
5 Os 0.250 0.750 0.500
6 Os 0.750 0.250 0.500
7 O 0.250 0.750 0.000
8 O 0.750 0.250 0.000

Raw total energy, eV/cell: -56.0

---

Entry 14:
VASP calculation (PBE) on SrPOsO after structural relaxation.

a = 4.315 Å, b = 4.315 Å, c = 7.046 Å
α = 90.00°, β = 90.00°, γ = 90.00°
Positions (direct):
1 Sr 0.250 0.750 0.000
2 Sr 0.750 0.250 0.000
3 P 0.250 0.250 0.292
4 P 0.750 0.750 0.708
5 Os 0.250 0.250 0.614
6 Os 0.750 0.750 0.386
7 O 0.250 0.750 0.500
8 O 0.750 0.250 0.500

Raw total energy, eV/cell: -43.3

---

Entry 15:
VASP calculation (PBE) on TaPOsO after structural relaxation.

a = 3.566 Å, b = 5.750 Å, c = 5.554 Å
α = 90.00°, β = 90.00°, γ = 90.00°
Positions (direct):
1 Ta 0.000 0.183 0.000
2 Ta 0.000 0.817 0.500
3 P 0.000 0.261 0.454
4 P 0.000 0.739 0.954
5 Os 0.500 0.476 0.314
6 Os 0.500 0.524 0.814
7 O 0.500 0.156 0.847
8 O 0.500 0.844 0.347

Raw total energy, eV/cell: -72.9

---

Entry 16:
VASP calculation (PBE) on TaPOsO after structural relaxation.

a = 4.022 Å, b = 4.022 Å, c = 6.280 Å
α = 90.00°, β = 90.00°, γ = 90.00°
Positions (direct):
1 Ta 0.250 0.250 0.133
2 Ta 0.750 0.750 0.867
3 P 0.250 0.250 0.698
4 P 0.750 0.750 0.302
5 Os 0.250 0.750 0.500
6 Os 0.750 0.250 0.500
7 O 0.250 0.750 0.000
8 O 0.750 0.250 0.000

Raw total energy, eV/cell: -73.9

---

Entry 17:
VASP calculation (PBE) on TaPOsO after structural relaxation.

a = 2.852 Å, b = 5.178 Å, c = 7.540 Å
α = 90.00°, β = 90.00°, γ = 90.00°
Positions (direct):
1 Ta 0.000 0.135 0.000
2 Ta 0.000 0.865 0.500
3 P 0.500 0.319 0.236
4 P 0.500 0.681 0.736
5 Os 0.500 0.344 0.536
6 Os 0.500 0.656 0.036
7 O 0.000 0.163 0.698
8 O 0.000 0.837 0.198

Raw total energy, eV/cell: -71.4

---

Entry 18:
VASP calculation (PBE) on TaPOsO after structural relaxation.

a = 4.307 Å, b = 4.307 Å, c = 5.723 Å
α = 90.00°, β = 90.00°, γ = 90.00°
Positions (direct):
1 Ta 0.250 0.750 0.000
2 Ta 0.750 0.250 0.000
3 P 0.250 0.250 0.214
4 P 0.750 0.750 0.786
5 Os 0.250 0.250 0.627
6 Os 0.750 0.750 0.373
7 O 0.250 0.750 0.500
8 O 0.750 0.250 0.500

Raw total energy, eV/cell: -66.8

---

Entry 19:
VASP calculation (PBE) on TlPOsO after structural relaxation.

a = 4.291 Å, b = 4.291 Å, c = 8.288 Å
α = 90.00°, β = 90.00°, γ = 90.00°
Positions (direct):
1 Tl 0.250 0.750 0.000
2 Tl 0.750 0.250 0.000
3 P 0.250 0.250 0.286
4 P 0.750 0.750 0.714
5 Os 0.250 0.250 0.553
6 Os 0.750 0.750 0.447
7 O 0.250 0.750 0.500
8 O 0.750 0.250 0.500

Raw total energy, eV/cell: -42.7

---

Entry 20:
VASP calculation (PBE) on TlPOsO after structural relaxation.

a = 3.458 Å, b = 8.051 Å, c = 5.503 Å
α = 90.00°, β = 90.00°, γ = 90.00°
Positions (direct):
1 Tl 0.000 0.110 0.000
2 Tl 0.000 0.890 0.500
3 P 0.000 0.347 0.406
4 P 0.000 0.653 0.906
5 Os 0.500 0.466 0.606
6 Os 0.500 0.534 0.106
7 O 0.500 0.322 0.904
8 O 0.500 0.678 0.404

Raw total energy, eV/cell: -50.1

---

Entry 21:
VASP calculation (PBE) on TlPOsO after structural relaxation.

a = 4.159 Å, b = 4.159 Å, c = 8.007 Å
α = 90.00°, β = 90.00°, γ = 90.00°
Positions (direct):
1 Tl 0.250 0.750 0.000
2 Tl 0.750 0.250 0.000
3 P 0.250 0.250 0.304
4 P 0.750 0.750 0.696
5 Os 0.250 0.250 0.586
6 Os 0.750 0.750 0.414
7 O 0.250 0.750 0.500
8 O 0.750 0.250 0.500

Raw total energy, eV/cell: -42.7

---

Entry 22:
VASP calculation (PBE) on TlPOsO after structural relaxation.

a = 4.108 Å, b = 4.108 Å, c = 7.625 Å
α = 90.00°, β = 90.00°, γ = 90.00°
Positions (direct):
1 Tl 0.250 0.250 0.142
2 Tl 0.750 0.750 0.858
3 P 0.250 0.250 0.653
4 P 0.750 0.750 0.347
5 Os 0.250 0.750 0.500
6 Os 0.750 0.250 0.500
7 O 0.250 0.750 0.000
8 O 0.750 0.250 0.000

Raw total energy, eV/cell: -49.0

---

Entry 23:
VASP calculation (PBE) on YPOsO after structural relaxation.

a = 3.261 Å, b = 7.699 Å, c = 5.190 Å
α = 90.00°, β = 90.00°, γ = 90.00°
Positions (direct):
1 Y 0.000 0.206 0.000
2 Y 0.000 0.794 0.500
3 P 0.000 0.417 0.496
4 P 0.000 0.583 0.996
5 Os 0.500 0.213 0.502
6 Os 0.500 0.787 0.002
7 O 0.500 0.039 0.840
8 O 0.500 0.961 0.340

Raw total energy, eV/cell: -65.1

---

Entry 24:
VASP calculation (PBE) on YPOsO after structural relaxation.

a = 4.001 Å, b = 4.001 Å, c = 7.884 Å
α = 90.00°, β = 90.00°, γ = 90.00°
Positions (direct):
1 Y 0.250 0.250 0.135
2 Y 0.750 0.750 0.865
3 P 0.250 0.250 0.656
4 P 0.750 0.750 0.344
5 Os 0.250 0.750 0.500
6 Os 0.750 0.250 0.500
7 O 0.250 0.750 0.000
8 O 0.750 0.250 0.000

Raw total energy, eV/cell: -71.0

---

Entry 25:
VASP calculation (PBE) on YPOsO after structural relaxation.

a = 4.331 Å, b = 4.331 Å, c = 6.457 Å
α = 90.00°, β = 90.00°, γ = 90.00°
Positions (direct):
1 Y 0.250 0.750 0.000
2 Y 0.750 0.250 0.000
3 P 0.250 0.250 0.277
4 P 0.750 0.750 0.723
5 Os 0.250 0.250 0.634
6 Os 0.750 0.750 0.366
7 O 0.250 0.750 0.500
8 O 0.750 0.250 0.500

Raw total energy, eV/cell: -55.5

---

Number 1: mass density 8010 kg/m³, magnetic moment 0.00 μB per cell. Number 2: mass density 8963 kg/m³, magnetic moment 0.00 μB per cell. Number 3: mass density 9864 kg/m³, magnetic moment 0.00 μB per cell. Number 4: mass density 10269 kg/m³, magnetic moment 0.00 μB per cell. Number 5: mass density 10340 kg/m³, magnetic moment 0.01 μB per cell. Number 6: mass density 9762 kg/m³, magnetic moment 0.00 μB per cell. Number 7: mass density 8216 kg/m³, magnetic moment 0.00 μB per cell. Number 8: mass density 8830 kg/m³, magnetic moment 0.00 μB per cell. Number 9: mass density 7898 kg/m³, magnetic moment 0.14 μB per cell. Number 10: mass density 7346 kg/m³, magnetic moment 0.45 μB per cell. Number 11: mass density 6404 kg/m³, magnetic moment 0.00 μB per cell. Number 12: mass density 8269 kg/m³, magnetic moment 0.01 μB per cell. Number 13: mass density 7007 kg/m³, magnetic moment 0.74 μB per cell. Number 14: mass density 8225 kg/m³, magnetic moment 0.01 μB per cell. Number 15: mass density 12194 kg/m³, magnetic moment 0.01 μB per cell. Number 16: mass density 13669 kg/m³, magnetic moment 0.00 μB per cell. Number 17: mass density 12474 kg/m³, magnetic moment 0.00 μB per cell. Number 18: mass density 13081 kg/m³, magnetic moment 0.85 μB per cell. Number 19: mass density 9609 kg/m³, magnetic moment 0.85 μB per cell. Number 20: mass density 9572 kg/m³, magnetic moment 0.00 μB per cell. Number 21: mass density 10590 kg/m³, magnetic moment 0.02 μB per cell. Number 22: mass density 11395 kg/m³, magnetic moment 0.01 μB per cell. Number 23: mass density 8311 kg/m³, magnetic moment 0.00 μB per cell. Number 24: mass density 8581 kg/m³, magnetic moment 0.00 μB per cell. Number 25: mass density 8940 kg/m³, magnetic moment 0.00 μB per cell.